Compound: PrNd12Sm2
Source: Alexandria
Functional: PBE
Structure: relaxed

## Properties
DOS(E_F)	85.15	states/eV/cell
energy relative to the elements	0.147	eV/atom
magnetization	0.00	μB/cell
calculated density	6746	kg/m3

```
data_PrNd12Sm2
_cell_length_a 7.239
_cell_length_b 11.707
_cell_length_c 25.239
_cell_angle_alpha 90.00
_cell_angle_beta 90.00
_cell_angle_gamma 90.00
_symmetry_space_group_name_H-M 'C m m e'
_symmetry_Int_Tables_number 67
_symmetry_space_group_name_Hall '-C 2a 2'
loop_
_atom_site_label
_atom_site_fract_x
_atom_site_fract_y
_atom_site_fract_z
_atom_site_occupancy
Pr1 0.000 0.250 0.001 1
Nd1 0.000 0.003 0.924 1
Nd2 0.000 0.025 0.440 1
Nd3 0.230 0.250 0.583 1
Nd4 0.248 0.250 0.130 1
Nd5 0.250 0.000 0.200 1
Nd6 0.250 0.000 0.326 1
Sm1 0.000 0.250 0.273 1
Sm2 0.000 0.250 0.732 1
```